Entry from Alexandria: a geometry-optimized SiAs2SeN structure (PBE).

extended XYZ file:
```
5
Lattice="4.7986 0.0000 0.0000 0.0000 4.7986 0.0000 0.0000 0.0000 4.8473" Properties=species:S:1:pos:R:3 pbc="T T T"
Si 0.0000 0.0000 0.0000
As 0.0000 2.3993 0.0000
As 2.3993 0.0000 0.0000
Se 0.0000 0.0000 2.4236
N 2.3993 2.3993 2.4236
```

Excess energy over the best structure of this formula in the dataset ... 0.618 eV/atom
Density ... 4.03 g cm⁻³
Symmetry ... P4/mmm (123)
ΔE_f (raw) ... 751.1 kJ/mol of formula units